1.
# Pr6HoTl5 (PBE, relaxed)
# * offset from the most stable computed form: 113.5 meV per atom
# * final energy: -3.946 eV/atom
# * energy of formation: -189 meV/atom
# * crystal system: monoclinic
data_Pr6HoTl5
_space_group_name_H-M_alt 'C 1 2/m 1'
_space_group_IT_number 12
_space_group_name_Hall '-C 2y'
_cell_length_a 10.587
_cell_length_b 11.758
_cell_length_c 6.438
_cell_angle_alpha 90.00
_cell_angle_beta 102.86
_cell_angle_gamma 90.00
loop_
_atom_site_label
_atom_site_type_symbol
_atom_site_fract_x
_atom_site_fract_y
_atom_site_fract_z
Pr1 Pr 0.215 0.000 0.209
Pr2 Pr 0.223 0.182 0.729
Ho1 Ho 0.000 0.500 0.000
Tl1 Tl 0.000 0.000 0.500
Tl2 Tl 0.000 0.214 0.000
Tl3 Tl 0.000 0.368 0.500



2.
# Pr15Ho2Tl2 (PBE, relaxed)
# * final energy: -4.341 eV/atom
# * energy of formation: 163 meV/atom
# * crystal system: trigonal
data_Pr15Ho2Tl2
_space_group_name_H-M_alt 'R -3 m'
_space_group_IT_number 166
_space_group_name_Hall '-R 3 2"'
_cell_length_a 11.1043
_cell_length_b 11.1043
_cell_length_c 18.4482
_cell_angle_alpha 90.00
_cell_angle_beta 90.00
_cell_angle_gamma 120.00
loop_
_atom_site_label
_atom_site_type_symbol
_atom_site_fract_x
_atom_site_fract_y
_atom_site_fract_z
Pr1 Pr 0.0000 0.2897 0.0000
Pr2 Pr 0.0000 0.5000 0.5000
Pr3 Pr 0.0413 0.5207 0.1264
Ho1 Ho 0.0000 0.0000 0.3011
Tl1 Tl 0.0000 0.0000 0.1012



3.
# PrHo6Tl (PBE, relaxed)
# * offset from the most stable computed form: 144.0 meV per atom
# * final energy: -4.197 eV/atom
# * energy of formation: 130 meV/atom
# * crystal system: monoclinic
data_PrHo6Tl
_space_group_name_H-M_alt 'C 1 2/m 1'
_space_group_IT_number 12
_space_group_name_Hall '-C 2y'
_cell_length_a 6.505
_cell_length_b 11.621
_cell_length_c 6.606
_cell_angle_alpha 90.00
_cell_angle_beta 90.34
_cell_angle_gamma 90.00
loop_
_atom_site_label
_atom_site_type_symbol
_atom_site_fract_x
_atom_site_fract_y
_atom_site_fract_z
Pr1 Pr 0.000 0.000 0.000
Ho1 Ho 0.054 0.500 0.746
Ho2 Ho 0.195 0.219 0.746
Tl1 Tl 0.000 0.000 0.500



Repeat the first record exactly.
# Pr6HoTl5 (PBE, relaxed)
# * offset from the most stable computed form: 113.5 meV per atom
# * final energy: -3.946 eV/atom
# * energy of formation: -189 meV/atom
# * crystal system: monoclinic
data_Pr6HoTl5
_space_group_name_H-M_alt 'C 1 2/m 1'
_space_group_IT_number 12
_space_group_name_Hall '-C 2y'
_cell_length_a 10.587
_cell_length_b 11.758
_cell_length_c 6.438
_cell_angle_alpha 90.00
_cell_angle_beta 102.86
_cell_angle_gamma 90.00
loop_
_atom_site_label
_atom_site_type_symbol
_atom_site_fract_x
_atom_site_fract_y
_atom_site_fract_z
Pr1 Pr 0.215 0.000 0.209
Pr2 Pr 0.223 0.182 0.729
Ho1 Ho 0.000 0.500 0.000
Tl1 Tl 0.000 0.000 0.500
Tl2 Tl 0.000 0.214 0.000
Tl3 Tl 0.000 0.368 0.500



Repeat the second record exactly.
# Pr15Ho2Tl2 (PBE, relaxed)
# * final energy: -4.341 eV/atom
# * energy of formation: 163 meV/atom
# * crystal system: trigonal
data_Pr15Ho2Tl2
_space_group_name_H-M_alt 'R -3 m'
_space_group_IT_number 166
_space_group_name_Hall '-R 3 2"'
_cell_length_a 11.1043
_cell_length_b 11.1043
_cell_length_c 18.4482
_cell_angle_alpha 90.00
_cell_angle_beta 90.00
_cell_angle_gamma 120.00
loop_
_atom_site_label
_atom_site_type_symbol
_atom_site_fract_x
_atom_site_fract_y
_atom_site_fract_z
Pr1 Pr 0.0000 0.2897 0.0000
Pr2 Pr 0.0000 0.5000 0.5000
Pr3 Pr 0.0413 0.5207 0.1264
Ho1 Ho 0.0000 0.0000 0.3011
Tl1 Tl 0.0000 0.0000 0.1012